1.
Entry from OQMD: LuBeAu after structural relaxation (PBE-GGA).

Cell lengths 6.4504, 6.4504, 6.4504 Å; angles 90.00, 90.00, 90.00 degrees
Space group F-43m (No. 216)
One atom of each set of equivalent atoms:
Lu: 0.0000 0.0000 0.0000 [4 per cell]
Be: 0.2500 0.2500 0.2500 [4 per cell]
Au: 0.2500 0.2500 0.7500 [4 per cell]

Crystal system: cubic
ΔE to the lowest computed polymorph, eV/atom: 0.436



2.
Entry from OQMD: PrGdBi after structural relaxation (PBE-GGA).

Cell lengths 7.4806, 7.4806, 7.4806 Å; angles 90.00, 90.00, 90.00 degrees
Space group F-43m (No. 216)
One atom of each set of equivalent atoms:
Pr: 0.0000 0.0000 0.0000 [4 per cell]
Gd: 0.0000 0.0000 0.5000 [4 per cell]
Bi: 0.2500 0.2500 0.7500 [4 per cell]

Crystal system: cubic
Raw total energy, eV for the cell shown: -58.82



3.
Entry from OQMD: Ir2I after structural relaxation (PBE-GGA).

Cell lengths 11.5471, 11.5471, 11.5471 Å; angles 90.00, 90.00, 90.00 degrees
Space group Fd-3m (No. 227, origin choice 2)
One atom of each set of equivalent atoms:
Ir: 0.0000 0.0000 0.0000 [16 per cell]
I: 0.1250 0.1250 0.1250 [8 per cell]

Crystal system: cubic
ΔE to the lowest computed polymorph, eV/atom: 1.366



4.
Entry from OQMD: NaTmHg after structural relaxation (PBE-GGA).

Cell lengths 6.8960, 6.8960, 6.8960 Å; angles 90.00, 90.00, 90.00 degrees
Space group F-43m (No. 216)
One atom of each set of equivalent atoms:
Na: 0.0000 0.0000 0.0000 [4 per cell]
Tm: 0.2500 0.2500 0.2500 [4 per cell]
Hg: 0.2500 0.2500 0.7500 [4 per cell]

Crystal system: cubic
ΔE to the lowest computed polymorph, eV/atom: 0.045



5.
Entry from OQMD: Na2ZnWS4 after structural relaxation (PBE-GGA).

Cell lengths 6.3295, 6.3295, 9.7590 Å; angles 90.00, 90.00, 90.00 degrees
Space group I-4 (No. 82)
One atom of each set of equivalent atoms:
Na: 0.0000 0.0000 0.0000 [2 per cell]
Na: 0.0000 0.5000 0.2500 [2 per cell]
Zn: 0.0000 0.5000 0.7500 [2 per cell]
W: 0.0000 0.0000 0.5000 [2 per cell]
S: 0.1887 0.2429 0.6243 [8 per cell]

Crystal system: tetragonal
Raw total energy, eV for the cell shown: -77.27



6.
Entry from OQMD: TmLu2Al7Cu2 after structural relaxation (PBE-GGA).

Cell lengths 5.4320, 5.4320, 25.1779 Å; angles 90.00, 90.00, 120.00 degrees
Space group R-3m (No. 166, hexagonal axes)
One atom of each set of equivalent atoms:
Tm: 0.0000 0.0000 0.0000 [3 per cell]
Lu: 0.0000 0.0000 0.1424 [6 per cell]
Al: 0.0000 0.0000 0.5000 [3 per cell]
Al: 0.0063 0.5032 0.9209 [18 per cell]
Cu: 0.0000 0.0000 0.3352 [6 per cell]

Crystal system: trigonal
Raw total energy, eV for the cell shown: -157.96



7.
Entry from OQMD: HfGaRe after structural relaxation (PBE-GGA).

Cell lengths 6.2201, 6.2201, 6.2201 Å; angles 90.00, 90.00, 90.00 degrees
Space group F-43m (No. 216)
One atom of each set of equivalent atoms:
Hf: 0.0000 0.0000 0.0000 [4 per cell]
Ga: 0.0000 0.0000 0.5000 [4 per cell]
Re: 0.2500 0.2500 0.7500 [4 per cell]

Crystal system: cubic
ΔE to the lowest computed polymorph, eV/atom: 0.000



8.
Entry from OQMD: Er2CdP after structural relaxation (PBE-GGA).

Cell lengths 11.2744, 5.2382, 7.6229 Å; angles 90.00, 109.68, 90.00 degrees
Space group C2 (No. 5)
One atom of each set of equivalent atoms:
Er: 0.1741 0.0000 0.0833 [4 per cell]
Er: 0.1807 0.9990 0.5949 [4 per cell]
Cd: 0.0107 0.5073 0.8068 [4 per cell]
P: 0.0042 0.0086 0.2585 [4 per cell]

Crystal system: monoclinic
Raw total energy, eV for the cell shown: -68.14



9.
Entry from OQMD: LiHoPbSe3 after structural relaxation (PBE-GGA).

Cell lengths 4.1348, 13.4927, 10.6973 Å; angles 90.00, 90.00, 90.00 degrees
Space group Cmcm (No. 63)
One atom of each set of equivalent atoms:
Li: 0.0000 0.0245 0.2500 [4 per cell]
Ho: 0.0000 0.5000 0.0000 [4 per cell]
Pb: 0.0000 0.2537 0.7500 [4 per cell]
Se: 0.0000 0.1373 0.0644 [8 per cell]
Se: 0.0000 0.4185 0.2500 [4 per cell]

Crystal system: orthorhombic
ΔE to the lowest computed polymorph, eV/atom: 0.033



10.
Entry from OQMD: Tb2Ta after structural relaxation (PBE-GGA).

Cell lengths 12.0863, 12.0863, 12.0863 Å; angles 90.00, 90.00, 90.00 degrees
Space group Fd-3m (No. 227, origin choice 2)
One atom of each set of equivalent atoms:
Tb: 0.0000 0.0000 0.0000 [16 per cell]
Ta: 0.1250 0.1250 0.1250 [8 per cell]

Crystal system: cubic
ΔE to the lowest computed polymorph, eV/atom: 1.431
E_form, eV/atom: 2.441



11.
Entry from OQMD: DyTm6Cu2Te2 after structural relaxation (PBE-GGA).

Cell lengths 3.9180, 15.3096, 9.4894 Å; angles 90.00, 90.00, 90.00 degrees
Space group Imm2 (No. 44)
One atom of each set of equivalent atoms:
Dy: 0.0000 0.0000 0.0000 [2 per cell]
Tm: 0.0000 0.1308 0.5851 [4 per cell]
Tm: 0.0000 0.3145 0.3803 [4 per cell]
Tm: 0.0000 0.3554 0.7382 [4 per cell]
Cu: 0.0000 0.2369 0.0748 [4 per cell]
Te: 0.0000 0.0000 0.3389 [2 per cell]
Te: 0.0000 0.5000 0.2348 [2 per cell]

Crystal system: orthorhombic
Raw total energy, eV for the cell shown: -102.93



12.
Entry from OQMD: CoPd2Pt after structural relaxation (PBE-GGA).

Cell lengths 6.1839, 6.1839, 6.1839 Å; angles 90.00, 90.00, 90.00 degrees
Space group F-43m (No. 216)
One atom of each set of equivalent atoms:
Co: 0.0000 0.0000 0.0000 [4 per cell]
Pd: 0.0000 0.0000 0.5000 [4 per cell]
Pd: 0.2500 0.2500 0.2500 [4 per cell]
Pt: 0.2500 0.2500 0.7500 [4 per cell]

Crystal system: cubic
E_form, eV/atom: 0.108



Question: What is the formula in the tenth record?
Answer: Tb2Ta



Question: What is the formula in the eleventh record?
Answer: DyTm6Cu2Te2